1.
# KSr2H6Rh

Crystalline KSr2H6Rh at its relaxed geometry (GGA-PBE, Alexandria).

The structure in extended XYZ format:
```
10
Lattice="5.2019 0.0000 0.0000 -2.6010 4.5050 0.0000 0.0000 0.0000 7.4647" Properties=species:S:1:pos:R:3 pbc="T T T"
K 0.0000 0.0000 0.0000
Sr 0.0000 3.0033 2.5493
Sr 2.6010 1.5017 4.9155
H 0.0000 1.3925 4.7212
H -1.3950 3.8087 4.7212
H 1.2059 0.6963 2.7436
H 1.3950 3.8087 4.7212
H 3.9960 0.6963 2.7436
H 2.6010 3.1125 2.7436
Rh 0.0000 0.0000 3.7324
```

DFT total energy: -3.621 eV per atom
density of states at the Fermi level: 2.80 states/eV per cell



2.
# YHo2Tc

Crystalline YHo2Tc at its relaxed geometry (GGA-PBE, Alexandria).

The structure in extended XYZ format:
```
4
Lattice="1.7096 0.9871 10.8558 -1.7096 0.9871 10.8558 0.0000 -1.9741 10.8558" Properties=species:S:1:pos:R:3 pbc="T T T"
Y 0.0000 0.0000 0.0000
Ho 0.0000 0.0000 3.4154
Ho 0.0000 0.0000 29.1519
Tc 0.0000 0.0000 16.2836
```

energy relative to the lowest polymorph listed for this composition: 1.50 eV/f.u.
ΔH_f (0 K): 265 meV per atom
density of states at the Fermi level: 6.15 states/eV per cell



3.
# In2RePb

Crystalline In2RePb at its relaxed geometry (GGA-PBE, Alexandria).

The structure in extended XYZ format:
```
4
Lattice="3.2225 0.0000 0.0000 0.0000 3.2225 0.0000 0.0000 0.0000 9.1023" Properties=species:S:1:pos:R:3 pbc="T T T"
In 0.0000 0.0000 0.0000
In 1.6113 1.6113 2.5659
Re 1.6113 1.6113 7.4010
Pb 0.0000 0.0000 5.5020
```

energy relative to the lowest polymorph listed for this composition: 0.49 eV/f.u.
ΔH_f (0 K): 568 meV per atom
density of states at the Fermi level: 3.00 states/eV per cell